# Li2Co3O6

A relaxed Li2Co3O6 crystal (PBE+U, Alexandria).

Properties
energy above the lowest structure with this stoichiometry	7.6	meV per atom
VASP energy	-125.2	eV/cell
magnetic moment	1.00	μB/f.u.

a = 4.8774 Å, b = 4.8802 Å, c = 9.8652 Å
α = 94.78°, β = 94.66°, γ = 119.97°
Last column: nearest neighbours and their distance in Å.
Fractional positions:
Li1 0.0833 0.2500 0.2486  6 O 2.13-2.16
Li2 0.4163 0.9161 0.2459  6 O 2.12-2.20
Li3 0.5837 0.0839 0.7541  6 O 2.12-2.20
Li4 0.9167 0.7500 0.7514  6 O 2.13-2.16
Co1 0.0000 0.5000 0.0000  6 O 1.87-1.91
Co2 0.1691 0.3357 0.5073  6 O 1.91
Co3 0.3344 0.1689 0.0000  6 O 1.90-1.93
Co4 0.5000 0.0000 0.5000  6 O 1.91
Co5 0.6656 0.8311 0.0000  6 O 1.90-1.93
Co6 0.8309 0.6643 0.4927  6 O 1.91
O1 0.0404 0.8704 0.1030  3 Co 1.90-1.93, 1 Li 2.13
O2 0.1387 0.6263 0.3977  3 Co 1.91
O3 0.1943 0.0220 0.6025  3 Co 1.91
O4 0.2958 0.8017 0.8970  3 Co 1.90-1.93
O5 0.3579 0.5349 0.1041  3 Co 1.87-1.93
O6 0.4540 0.2932 0.3975  3 Co 1.91
O7 0.5460 0.7068 0.6025  3 Co 1.91
O8 0.6421 0.4651 0.8959  3 Co 1.87-1.93
O9 0.7042 0.1983 0.1030  3 Co 1.90-1.93
O10 0.8057 0.9780 0.3975  3 Co 1.91
O11 0.8613 0.3737 0.6023  3 Co 1.91
O12 0.9596 0.1296 0.8970  3 Co 1.90-1.93, 1 Li 2.13